P) Compound: Cs3PrBr6
Source: OQMD
Functional: PBE
Structure: optimized geometry

Unit cell a=8.5005 b=9.0196 c=14.5769 alpha=90.00 beta=124.18 gamma=90.00
Space group P2_1/c (No. 14)
Asymmetric unit:
Cs 0.0000 0.0000 0.0000 x2
Cs 0.2159 0.0700 0.7429 x4
Pr 0.5000 0.0000 0.5000 x2
Br 0.1719 0.1773 0.4486 x4
Br 0.2605 0.7325 0.4262 x4
Br 0.3989 0.0539 0.2754 x4

***

Q) Compound: Cs3PrBr6
Source: OQMD
Functional: PBE
Structure: optimized geometry

Unit cell a=12.5305 b=12.5305 c=12.5305 alpha=90.00 beta=90.00 gamma=90.00
Space group Fm-3m (No. 225)
Asymmetric unit:
Cs 0.0000 0.0000 0.0000 x4
Cs 0.2500 0.2500 0.2500 x8
Pr 0.0000 0.0000 0.5000 x4
Br 0.0000 0.0000 0.2691 x24

***

Tell me which of them is the most stable. Sure, it is P).